# NaRuBr6 (GGA-PBE, optimized geometry)
# - Raw total energy: -3.037 eV per atom
# - DOS at the Fermi energy: 0.456 states/eV/atom
# - E above lowest polymorph: 5 meV per atom
# - Raw formation energy: -353 kJ/mol of formula units
data_NaRuBr6
_chemical_formula_sum 'Na2 Ru2 Br12'
_cell_length_a 7.327
_cell_length_b 11.433
_cell_length_c 6.768
_cell_angle_alpha 90.00
_cell_angle_beta 110.65
_cell_angle_gamma 90.00
_symmetry_space_group_name_H-M 'C 1 2/m 1'
_symmetry_Int_Tables_number 12
loop_
_symmetry_equiv_pos_as_xyz
'x,y,z'
'-x,-y,-z'
'-x,y,-z'
'x,-y,z'
'x+1/2,y+1/2,z'
'-x+1/2,-y+1/2,-z'
'-x+1/2,y+1/2,-z'
'x+1/2,-y+1/2,z'
loop_
_atom_site_label
_atom_site_type_symbol
_atom_site_fract_x
_atom_site_fract_y
_atom_site_fract_z
Na1 Na 0.000 0.000 0.000
Ru1 Ru 0.000 0.500 0.500
Br1 Br 0.189 0.343 0.747
Br2 Br 0.243 0.500 0.324